VASP calculation (PBEsol) on an optimized crystal structure of Mg2FeCo.

Calculated values
As for the raw total energy: -4.71 eV per atom. As for the formation energy: 0.32 eV per atom. As for the density: 4.80 g/cm3.

Cell lengths 2.6903, 2.6903, 7.8112 Å; angles 90.00, 90.00, 90.00 degrees
Last column: nearest neighbours and their distance in Å.
Fractional coordinates of all 4 atoms:
Co: 0.5000 0.5000 0.0000  8 Mg 2.68, 4 Co 2.69
Mg: 0.0000 0.0000 0.2424  4 Co 2.68, 4 Mg 2.69, 4 Fe 2.77
Fe: 0.5000 0.5000 0.5000  4 Fe 2.69, 8 Mg 2.77
Mg: 0.0000 0.0000 0.7576  4 Co 2.68, 4 Mg 2.69, 4 Fe 2.77

---

VASP calculation (PBEsol) on an optimized crystal structure of Mg2FeCo.

Calculated values
As for the raw total energy: -4.65 eV per atom. As for the formation energy: 0.38 eV per atom. As for the density: 4.76 g/cm3.

Cell lengths 2.7490, 2.7490, 8.8609 Å; angles 81.08, 81.08, 60.00 degrees
Last column: nearest neighbours and their distance in Å.
Fractional coordinates of all 4 atoms:
Mg: 0.2483 0.2483 0.2550  3 Co 2.66, 3 Fe 2.73, 6 Mg 2.75
Co: 0.5000 0.5000 0.5000  6 Mg 2.66, 6 Co 2.75
Fe: 0.0000 0.0000 0.0000  6 Mg 2.73, 6 Fe 2.75
Mg: 0.7517 0.7517 0.7450  3 Co 2.66, 3 Fe 2.73, 6 Mg 2.75

---

VASP calculation (PBEsol) on an optimized crystal structure of Mg2FeCo.

Calculated values
As for the raw total energy: -4.72 eV per atom. As for the formation energy: 0.31 eV per atom. As for the density: 4.79 g/cm3.

Cell lengths 3.3060, 4.1003, 4.9363 Å; angles 114.54, 109.56, 90.00 degrees
Last column: nearest neighbours and their distance in Å.
Fractional coordinates of all 4 atoms:
Mg: 0.7567 0.7567 0.5134  2 Co 2.62, 4 Mg 2.64, 4 Fe 2.71-2.89
Fe: 0.0000 0.5000 0.0000  4 Co 2.63, 8 Mg 2.71-2.89
Co: 0.5000 0.0000 0.0000  4 Mg 2.62, 4 Fe 2.63
Mg: 0.2433 0.2433 0.4866  2 Co 2.62, 4 Mg 2.64, 4 Fe 2.71-2.89

---

VASP calculation (PBEsol) on an optimized crystal structure of MgFeCo.

Calculated values
As for the raw total energy: -5.86 eV per atom. As for the formation energy: 0.28 eV per atom. The relative energy among the computed polymorphs is 0 kJ/mol of formula units. As for the density: 5.94 g/cm3.

Cell lengths 2.5927, 2.5927, 6.2637 Å; angles 98.25, 98.25, 107.86 degrees
Last column: nearest neighbours and their distance in Å.
Fractional coordinates of all 3 atoms:
Fe: 0.6545 0.6545 0.3091  2 Co 2.33, 4 Fe 2.59
Co: 0.0099 0.0099 0.0198  2 Fe 2.33, 4 Co 2.59
Mg: 0.3356 0.3356 0.6712  4 Mg 2.59, 2 Co 2.61, 2 Fe 2.68